! Ni6SbH | the Alexandria database | PBE-GGA | optimized geometry; values from VASP
! Space group = C2/m
! Raw total energy = -41.83 eV/cell
! N(E_F) = 10.1 states/eV per cell
&SYSTEM
  ibrav = 0, nat = 8, ntyp = 3
/
ATOMIC_SPECIES
Ni 58.69 Ni.upf
Sb 121.76 Sb.upf
H 1.01 H.upf
CELL_PARAMETERS angstrom
2.925 -3.497 0.000
2.925 3.497 0.000
-1.244 0.000 4.398
ATOMIC_POSITIONS angstrom
Ni 1.467 2.208 3.166
Ni 3.139 2.208 1.231
Ni 0.505 0.000 4.019
Ni 4.101 0.000 0.379
Ni 1.467 -2.208 3.166
Ni 3.139 -2.208 1.231
Sb 2.303 0.000 2.199
H 0.000 0.000 0.000